Entry from Alexandria: an optimized crystal structure of Ho6Ge2PtSe3 (PBE). Values from VASP.

Structure (Quantum ESPRESSO input):
```
&SYSTEM
  ibrav = 0, nat = 12, ntyp = 4
/
ATOMIC_SPECIES
Ho 164.93 Ho.upf
Se 78.96 Se.upf
Ge 72.64 Ge.upf
Pt 195.08 Pt.upf
CELL_PARAMETERS angstrom
4.0823 0.0000 0.0000
0.0000 8.2794 0.1511
-2.0412 -2.5379 8.6603
ATOMIC_POSITIONS angstrom
Ho 0.0000 5.8329 5.9547
Ho 2.0412 -0.0915 2.8568
Ho 0.0000 1.8427 5.7854
Ho 2.0412 3.7542 8.7509
Ho 2.0412 3.8988 3.0260
Ho 0.0000 1.9873 0.0605
Se 2.0412 4.1397 0.0756
Se 0.0000 6.0307 3.0453
Se 2.0412 -0.2892 5.7662
Ge 0.0000 1.9006 2.9107
Ge 2.0412 3.8409 5.9008
Pt 2.0412 0.0000 0.0000
```

The value obtained for the theoretical density is 8.841 g cm⁻³. The value obtained for the uncorrected formation energy is -16.672 eV/f.u.

Entry from Alexandria: an optimized crystal structure of CsMnAgBr6 (PBE). Values from VASP.

Structure (Quantum ESPRESSO input):
```
&SYSTEM
  ibrav = 0, nat = 9, ntyp = 4
/
ATOMIC_SPECIES
Mn 54.94 Mn.upf
Br 79.90 Br.upf
Cs 132.91 Cs.upf
Ag 107.87 Ag.upf
CELL_PARAMETERS angstrom
-5.4364 4.6204 0.0596
-6.3429 -1.8935 -2.6680
-2.1791 -2.6437 7.0869
ATOMIC_POSITIONS angstrom
Mn -5.0177 -0.4122 2.6733
Br -5.5448 -2.7602 3.2407
Br -7.0179 0.3118 3.9339
Br -3.1686 -1.3198 1.2995
Br -4.2328 1.8756 2.1628
Br -3.6819 -0.2431 4.7512
Br -6.4455 -0.3433 0.6550
Cs -0.0031 0.0009 -0.0004
Ag -8.9408 0.4952 1.8051
```

The value obtained for the theoretical density is 3.714 g cm⁻³. The value obtained for the uncorrected formation energy is -6.908 eV/f.u.

Entry from Alexandria: an optimized crystal structure of CaTlHgBr5 (PBE). Values from VASP.

Structure (Quantum ESPRESSO input):
```
&SYSTEM
  ibrav = 0, nat = 16, ntyp = 4
/
ATOMIC_SPECIES
Br 79.90 Br.upf
Ca 40.08 Ca.upf
Hg 200.59 Hg.upf
Tl 204.38 Tl.upf
CELL_PARAMETERS angstrom
-3.2366 6.7348 2.8863
-0.2037 -5.3236 5.9818
10.2904 2.3408 -0.9640
ATOMIC_POSITIONS angstrom
Br 1.8752 4.9599 2.0819
Br 7.5795 2.5483 5.3125
Br -0.7294 1.2036 2.5916
Br -1.9317 4.6248 4.5064
Br 2.1223 -3.7580 5.4891
Br 4.7373 1.0955 2.4378
Br 4.7278 7.5100 2.4149
Br 8.7818 -0.8728 3.3976
Br 4.9749 -1.2079 5.8222
Br 2.1128 2.6565 5.4662
Ca 0.0000 0.0000 0.0000
Ca 5.1452 1.1704 -0.4820
Hg 0.3088 3.4522 3.6382
Hg 6.5413 0.2997 4.2659
Tl 1.3505 -0.6892 4.7013
Tl 5.4996 4.4412 3.2027
```

The value obtained for the theoretical density is 4.685 g cm⁻³. The value obtained for the uncorrected formation energy is -9.075 eV/f.u.

Entry from Alexandria: an optimized crystal structure of VMo3H (PBE). Values from VASP.

Structure (Quantum ESPRESSO input):
```
&SYSTEM
  ibrav = 0, nat = 5, ntyp = 3
/
ATOMIC_SPECIES
Mo 95.94 Mo.upf
V 50.94 V.upf
H 1.01 H.upf
CELL_PARAMETERS angstrom
4.0112 0.0000 0.0000
0.0000 4.0112 0.0000
0.0000 0.0000 4.0112
ATOMIC_POSITIONS angstrom
Mo 2.0056 0.0000 0.0000
Mo 0.0000 0.0000 2.0056
Mo 0.0000 2.0056 0.0000
V 2.0056 2.0056 2.0056
H 0.0000 0.0000 0.0000
```

The value obtained for the theoretical density is 8.742 g cm⁻³. The electronic total energy is -8.75 eV/atom.

Entry from Alexandria: an optimized crystal structure of SrBeGaAu6 (PBE). Values from VASP.

Structure (Quantum ESPRESSO input):
```
&SYSTEM
  ibrav = 0, nat = 18, ntyp = 4
/
ATOMIC_SPECIES
Sr 87.62 Sr.upf
Au 196.97 Au.upf
Be 9.01 Be.upf
Ga 69.72 Ga.upf
CELL_PARAMETERS angstrom
-1.1886 -3.2458 7.1310
7.9247 2.4159 2.4205
-5.5193 5.5082 -2.8161
ATOMIC_POSITIONS angstrom
Sr -0.0514 2.3862 5.4808
Sr 1.2682 2.2920 1.2546
Au -1.9618 3.0799 3.0396
Au -1.4314 4.5281 -0.1422
Au 0.1333 4.9788 2.2884
Au 3.1785 1.5984 3.6959
Au -0.9430 0.3419 2.4370
Au 2.6482 0.1501 6.8777
Au 5.4739 2.9237 2.2431
Au -4.2571 1.7546 4.4923
Au 2.6902 5.7846 1.1167
Au -1.4734 -1.1064 5.6188
Au 2.1598 4.3363 4.2984
Au 1.0835 -0.3006 4.4470
Be -0.5943 -1.6229 3.5655
Be 3.3680 -0.4150 4.7758
Ga -2.7596 2.7541 -1.4080
Ga -3.3539 1.1312 2.1575
```

For the formation energy, the calculation gives -0.18 eV per atom. The value obtained for the theoretical density is 11.159 g cm⁻³.

Entry from Alexandria: an optimized crystal structure of Na2AuBr (PBE). Values from VASP.

Structure (Quantum ESPRESSO input):
```
&SYSTEM
  ibrav = 0, nat = 8, ntyp = 3
/
ATOMIC_SPECIES
Au 196.97 Au.upf
Br 79.90 Br.upf
Na 22.99 Na.upf
CELL_PARAMETERS angstrom
-0.7926 -3.0090 -6.9074
-0.8374 -6.8673 3.0877
-5.2320 -4.2973 -1.6823
ATOMIC_POSITIONS angstrom
Au -3.4198 -6.1222 -5.2498
Au 0.0000 0.0000 0.0000
Br -3.4422 -8.0514 -0.2522
Br -0.8150 -4.9382 -1.9099
Na -1.8987 -3.7780 -4.2704
Na -1.9398 -5.7779 0.5645
Na -4.5451 -7.0074 -2.6578
Na -5.3403 -11.7839 -4.6403
```

The value obtained for the theoretical density is 4.180 g cm⁻³. The value obtained for the uncorrected formation energy is -3.007 eV/f.u.

Entry from Alexandria: an optimized crystal structure of Zn3GaSi (PBE). Values from VASP.

Structure (Quantum ESPRESSO input):
```
&SYSTEM
  ibrav = 0, nat = 5, ntyp = 3
/
ATOMIC_SPECIES
Ga 69.72 Ga.upf
Zn 65.41 Zn.upf
Si 28.09 Si.upf
CELL_PARAMETERS angstrom
4.7637 0.0000 0.0000
0.0000 4.7637 0.0000
0.0000 0.0000 4.7637
ATOMIC_POSITIONS angstrom
Ga 2.3818 2.3818 2.3818
Zn 2.3818 0.0000 0.0000
Zn 0.0000 2.3818 0.0000
Zn 0.0000 0.0000 2.3818
Si 0.0000 0.0000 0.0000
```

The value obtained for the theoretical density is 4.517 g cm⁻³. The value obtained for the uncorrected formation energy is 2.134 eV/f.u.

Entry from Alexandria: an optimized crystal structure of CaRe2NiGe (PBE). Values from VASP.

Structure (Quantum ESPRESSO input):
```
&SYSTEM
  ibrav = 0, nat = 5, ntyp = 4
/
ATOMIC_SPECIES
Ge 72.64 Ge.upf
Re 186.21 Re.upf
Ni 58.69 Ni.upf
Ca 40.08 Ca.upf
CELL_PARAMETERS angstrom
-3.6845 -1.2065 -2.2802
-0.0857 -4.3134 2.4208
-2.5785 1.8425 3.1917
ATOMIC_POSITIONS angstrom
Ge -3.1743 -1.8387 1.6661
Re -1.8422 -0.6032 -1.1401
Re -1.2893 0.9212 1.5958
Ni 0.0000 0.0000 0.0000
Ca -0.0428 -2.1567 1.2104
```

For the formation energy, the calculation gives 1.22 eV per atom. The value obtained for the theoretical density is 9.023 g cm⁻³.

Entry from Alexandria: an optimized crystal structure of Cs2InGe2Cl7 (PBE). Values from VASP.

Structure (Quantum ESPRESSO input):
```
&SYSTEM
  ibrav = 0, nat = 12, ntyp = 4
/
ATOMIC_SPECIES
Cl 35.45 Cl.upf
In 114.82 In.upf
Ge 72.64 Ge.upf
Cs 132.91 Cs.upf
CELL_PARAMETERS angstrom
5.3862 0.0070 -0.0273
0.0135 5.3862 -0.0273
2.5370 2.5339 13.8318
ATOMIC_POSITIONS angstrom
Cl 5.3510 5.3445 8.4635
Cl 2.4032 5.2683 11.2909
Cl 2.6999 2.6966 -0.0273
Cl 2.5858 2.5826 5.3138
Cl 5.2713 2.3968 11.2909
Cl 2.6655 5.5303 2.4863
Cl 5.5336 2.6588 2.4863
In 0.0000 0.0000 0.0000
Ge 2.5842 2.5811 2.6367
Ge 5.3526 5.3461 11.1405
Cs 5.3317 5.3252 4.9615
Cs 2.6051 2.6019 8.8158
```

The value obtained for the theoretical density is 3.197 g cm⁻³. The value obtained for the uncorrected formation energy is -14.605 eV/f.u.

Entry from Alexandria: an optimized crystal structure of CeTaCo4 (PBE). Values from VASP.

Structure (Quantum ESPRESSO input):
```
&SYSTEM
  ibrav = 0, nat = 6, ntyp = 3
/
ATOMIC_SPECIES
Co 58.93 Co.upf
Ta 180.95 Ta.upf
Ce 140.12 Ce.upf
CELL_PARAMETERS angstrom
-1.2026 -3.7875 -2.8455
-0.2953 -4.4912 1.9053
-4.3565 -2.1555 0.5127
ATOMIC_POSITIONS angstrom
Co -3.6625 -6.5276 -0.2674
Co -3.0583 -4.6248 1.1621
Co -1.4738 -5.4447 -0.5250
Co -3.5141 -4.2712 -1.2246
Ta 0.0000 0.0000 0.0000
Ce -1.4636 -2.6085 -0.1069
```

For the formation energy, the calculation gives -0.07 eV per atom. The value obtained for the theoretical density is 11.200 g cm⁻³.

Entry from Alexandria: an optimized crystal structure of NaPuHg4 (PBE). Values from VASP.

Structure (Quantum ESPRESSO input):
```
&SYSTEM
  ibrav = 0, nat = 12, ntyp = 3
/
ATOMIC_SPECIES
Hg 200.59 Hg.upf
Pu 244.00 Pu.upf
Na 22.99 Na.upf
CELL_PARAMETERS angstrom
-4.6006 -0.6739 -0.7986
0.8847 -8.4623 2.0445
0.8039 1.9328 7.6517
ATOMIC_POSITIONS angstrom
Hg -0.0917 -7.3780 6.7113
Hg -1.6578 -6.6630 1.2286
Hg 0.4423 -4.2311 1.0223
Hg 0.0000 0.0000 0.0000
Hg -1.2542 -0.5404 7.6690
Hg -2.8203 0.1746 2.1863
Hg -0.5226 -3.2568 5.7156
Hg -2.3895 -3.9466 3.1820
Pu -3.1054 -1.3608 5.0745
Pu 0.1934 -5.8426 3.8231
Na -2.6900 -5.5619 6.2326
Na -0.2221 -1.6415 2.6650
```

For the formation energy, the calculation gives -0.12 eV per atom. The value obtained for the theoretical density is 11.356 g cm⁻³.

Entry from Alexandria: an optimized crystal structure of PrHoAsSe (PBE). Values from VASP.

Structure (Quantum ESPRESSO input):
```
&SYSTEM
  ibrav = 0, nat = 4, ntyp = 4
/
ATOMIC_SPECIES
Pr 140.91 Pr.upf
As 74.92 As.upf
Se 78.96 Se.upf
Ho 164.93 Ho.upf
CELL_PARAMETERS angstrom
-3.8991 0.9153 -1.1726
-3.2267 -1.9747 1.7619
-2.6965 4.5181 5.0674
ATOMIC_POSITIONS angstrom
Pr -7.1295 -1.0022 0.6465
As -2.4604 0.9385 1.4879
Se -7.3619 2.5208 4.1693
Ho -4.9073 1.6718 2.7708
```

The value obtained for the theoretical density is 7.340 g cm⁻³. The value obtained for the uncorrected formation energy is -6.828 eV/f.u.